Arrangement A

Material: KSr2Pd
Method: DFT, GGA-PBE
State: optimized geometry

Geometry as CIF:
```
data_KSr2Pd
_space_group_name_H-M_alt 'P 1'
_space_group_IT_number 1
_space_group_name_Hall 'P 1'
_cell_length_a 9.963
_cell_length_b 9.963
_cell_length_c 7.956
_cell_angle_alpha 51.23
_cell_angle_beta 51.23
_cell_angle_gamma 90.00
loop_
_atom_site_label
_atom_site_type_symbol
_atom_site_fract_x
_atom_site_fract_y
_atom_site_fract_z
_atom_site_occupancy
Sr1 Sr 0.736 0.125 0.250 1
Sr2 Sr 0.375 0.264 0.750 1
Sr3 Sr 0.875 0.986 0.750 1
Sr4 Sr 0.014 0.625 0.250 1
K1 K 0.250 0.750 0.500 1
K2 K 0.500 0.500 0.000 1
Pd1 Pd 0.000 0.000 0.000 1
Pd2 Pd 0.750 0.250 0.500 1
```

---

Arrangement B

Material: KSr2Pd
Method: DFT, GGA-PBE
State: optimized geometry

Geometry as CIF:
```
data_KSr2Pd
_space_group_name_H-M_alt 'P 1'
_space_group_IT_number 1
_space_group_name_Hall 'P 1'
_cell_length_a 5.837
_cell_length_b 5.837
_cell_length_c 5.837
_cell_angle_alpha 60.00
_cell_angle_beta 60.00
_cell_angle_gamma 60.00
loop_
_atom_site_label
_atom_site_type_symbol
_atom_site_fract_x
_atom_site_fract_y
_atom_site_fract_z
_atom_site_occupancy
Sr1 Sr 0.750 0.750 0.750 1
Sr2 Sr 0.250 0.250 0.250 1
K1 K 0.000 0.000 0.000 1
Pd1 Pd 0.500 0.500 0.500 1
```

---

Which of them is most stable, and which least? Most stable: arrangement A; least stable: arrangement B.

---

Arrangement A

Material: KSr2Pd
Method: DFT, GGA-PBE
State: optimized geometry

Geometry as CIF:
```
data_KSr2Pd
_space_group_name_H-M_alt 'P 1'
_space_group_IT_number 1
_space_group_name_Hall 'P 1'
_cell_length_a 4.415
_cell_length_b 4.415
_cell_length_c 12.051
_cell_angle_alpha 79.45
_cell_angle_beta 79.45
_cell_angle_gamma 60.00
loop_
_atom_site_label
_atom_site_type_symbol
_atom_site_fract_x
_atom_site_fract_y
_atom_site_fract_z
_atom_site_occupancy
K1 K 0.000 0.000 0.000 1
Sr1 Sr 0.880 0.880 0.360 1
Sr2 Sr 0.120 0.120 0.640 1
Pd1 Pd 0.500 0.500 0.500 1
```

---

Arrangement B

Material: KSr2Pd
Method: DFT, GGA-PBE
State: optimized geometry

Geometry as CIF:
```
data_KSr2Pd
_space_group_name_H-M_alt 'P 1'
_space_group_IT_number 1
_space_group_name_Hall 'P 1'
_cell_length_a 4.474
_cell_length_b 4.474
_cell_length_c 11.182
_cell_angle_alpha 78.46
_cell_angle_beta 78.46
_cell_angle_gamma 60.00
loop_
_atom_site_label
_atom_site_type_symbol
_atom_site_fract_x
_atom_site_fract_y
_atom_site_fract_z
_atom_site_occupancy
Pd1 Pd 0.666 0.666 0.001 1
Sr1 Sr 0.049 0.049 0.852 1
Sr2 Sr 0.284 0.284 0.149 1
K1 K 0.501 0.501 0.498 1
```

---

Which of them is most stable, and which least? Most stable: arrangement B; least stable: arrangement A.